[1]
12
Lattice="7.953 -0.932 0.000 -2.117 7.715 0.000 -2.918 -3.391 6.366" Properties=species:S:1:pos:R:3 comment="TlAuCl4 (PBE, optimized geometry)" e_form_raw_ev_per_atom=-0.561 space_group="C2/c, No. 15" pbc="T T T"
Tl 0.930 3.624 1.608
Tl 1.988 -0.233 4.758
Au -3.047 4.090 4.724
Au 5.965 -0.699 1.643
Cl 4.004 -2.755 6.360
Cl -0.028 2.289 6.360
Cl -0.808 1.385 3.290
Cl 3.727 2.007 3.076
Cl -1.867 5.242 3.076
Cl 2.946 1.103 0.006
Cl 4.785 -1.851 3.290
Cl -1.086 6.146 0.006



[2]
6
Lattice="3.754 0.007 -0.003 1.486 5.108 -0.024 0.119 0.730 5.706" Properties=species:S:1:pos:R:3 comment="P3Ir2Au (PBE, optimized geometry)" formation_energy_kj_per_mol_fu=-95.9 space_group="P1, No. 1" pbc="T T T"
P 2.773 0.416 1.321
P 4.422 4.324 4.893
P 2.482 2.467 2.179
Ir 2.448 4.159 0.584
Ir 4.356 3.660 2.711
Au 3.999 1.865 4.742



[3]
10
Lattice="3.355 -1.211 -0.166 -1.894 8.927 -4.125 1.248 -6.592 12.877" Properties=species:S:1:pos:R:3 comment="PtS3Cl (PBE, optimized geometry)" e_form_raw_ev_per_atom=-0.139 space_group="P-1, No. 2" pbc="T T T"
Pt 0.970 3.620 3.375
Pt 1.739 -2.496 5.210
S 2.376 2.478 1.852
S 2.159 -2.591 9.691
S 1.331 5.506 -0.461
S 0.333 -1.354 6.733
S 1.378 -4.382 9.047
S 0.550 3.715 -1.106
Cl 1.040 0.622 6.573
Cl 1.669 0.501 2.013



Number 1: energy above the most stable polymorph in this dataset 23 meV/atom. Number 2: energy above the most stable polymorph in this dataset 98 meV/atom. Number 3: energy above the most stable polymorph in this dataset 0 meV/atom.